Entry 1:
Na3LiMn5O9 GGA+U optimized geometry; space group = P1, No. 1
1.0
5.349 0.000 0.000
2.604 4.676 0.000
2.607 1.601 7.910
Na Li Mn O
3 1 5 9
Direct
0.000 0.000 0.000 Na
0.322 0.332 0.999 Na
0.653 0.673 0.003 Na
0.426 0.106 0.692 Li
0.078 0.805 0.674 Mn
0.201 0.562 0.344 Mn
0.540 0.899 0.340 Mn
0.739 0.466 0.674 Mn
0.867 0.226 0.340 Mn
0.027 0.442 0.785 O
0.076 0.197 0.514 O
0.275 0.939 0.208 O
0.399 0.721 0.806 O
0.454 0.576 0.513 O
0.596 0.255 0.212 O
0.736 0.057 0.806 O
0.790 0.881 0.484 O
0.916 0.577 0.209 O

***

Entry 2:
NaLiMnP2O7 GGA+U optimized geometry; space group = P1, No. 1
1.0
6.563 0.000 0.000
1.033 6.554 0.000
0.975 2.208 6.603
Na Li Mn P O
2 2 2 4 14
Direct
0.000 0.000 0.000 Na
0.325 0.271 0.642 Na
0.104 0.574 0.276 Li
0.855 0.275 0.625 Li
0.414 0.644 0.899 Mn
0.715 0.849 0.457 Mn
0.202 0.946 0.444 P
0.463 0.082 0.046 P
0.659 0.411 0.309 P
0.915 0.529 0.908 P
0.008 0.371 0.796 O
0.056 0.824 0.379 O
0.074 0.633 0.977 O
0.091 0.094 0.560 O
0.297 0.112 0.234 O
0.362 0.957 0.942 O
0.384 0.795 0.555 O
0.447 0.520 0.242 O
0.480 0.312 0.901 O
0.649 0.186 0.468 O
0.664 0.968 0.135 O
0.743 0.695 0.797 O
0.785 0.536 0.394 O
0.806 0.373 0.116 O

***

Sequential magnetic moment output: 1.17, 0.42 μB/atom
Sequential V output: 10.99, 11.83 Å³/atom
Sequential VASP energy output: -117.6, -165.6 eV per cell